# 1
# GGA-PBEsol Sc2BeSi, optimized geometry
# M_tot = 0.00 Bohr magnetons per cell
# Volume = 17.168 Å³ per atom
# Density of states at the Fermi level = 3.8 states/eV/f.u.
# Crystal system = orthorhombic
# Distance to the lowest polymorph of the same formula = 0.00 eV/f.u.
# Space group = Amm2, No. 38
# Formation energy from raw total energies = -523 meV/atom
data_Sc2BeSi
_chemical_formula_sum 'Sc2 Be1 Si1'
_cell_length_a 3.6798
_cell_length_b 3.7945
_cell_length_c 5.2712
_cell_angle_alpha 111.10
_cell_angle_beta 90.00
_cell_angle_gamma 90.00
_space_group_name_H-M_alt 'P 1'
_space_group_IT_number 1
loop_
_space_group_symop_operation_xyz
'x,y,z'
loop_
_atom_site_label
_atom_site_type_symbol
_atom_site_fract_x
_atom_site_fract_y
_atom_site_fract_z
Si1 Si 0.0000 0.8151 0.6301
Sc1 Sc 0.5000 0.3916 0.7832
Sc2 Sc 0.0000 0.1054 0.2109
Be1 Be 0.5000 0.6826 0.3653



# 2
# GGA-PBEsol CaSiSb, optimized geometry
# M_tot = 0.00 Bohr magnetons per cell
# Volume = 27.124 Å³ per atom
# Density of states at the Fermi level = 1.6 states/eV/f.u.
# Crystal system = cubic
# Space group = F-43m, No. 216
# Formation energy from raw total energies = -112 meV/atom
data_CaSiSb
_chemical_formula_sum 'Ca1 Si1 Sb1'
_cell_length_a 4.8640
_cell_length_b 4.8640
_cell_length_c 4.8640
_cell_angle_alpha 60.00
_cell_angle_beta 60.00
_cell_angle_gamma 60.00
_space_group_name_H-M_alt 'P 1'
_space_group_IT_number 1
loop_
_space_group_symop_operation_xyz
'x,y,z'
loop_
_atom_site_label
_atom_site_type_symbol
_atom_site_fract_x
_atom_site_fract_y
_atom_site_fract_z
Si1 Si 0.2500 0.2500 0.2500
Ca1 Ca 0.0000 0.0000 0.0000
Sb1 Sb 0.5000 0.5000 0.5000



# 3
# GGA-PBEsol Li6V2C4SO16, optimized geometry
# M_tot = 12.00 Bohr magnetons per cell
# Volume = 9.600 Å³ per atom
# Crystal system = cubic
# Space group = Fd-3, No. 203
# Formation energy from raw total energies = -1746 meV/atom
data_Li6V2C4SO16
_chemical_formula_sum 'Li12 V4 C8 S2 O32'
_cell_length_a 9.2342
_cell_length_b 9.2342
_cell_length_c 9.2342
_cell_angle_alpha 60.00
_cell_angle_beta 60.00
_cell_angle_gamma 60.00
_space_group_name_H-M_alt 'P 1'
_space_group_IT_number 1
loop_
_space_group_symop_operation_xyz
'x,y,z'
loop_
_atom_site_label
_atom_site_type_symbol
_atom_site_fract_x
_atom_site_fract_y
_atom_site_fract_z
O1 O 0.1842 0.4475 0.1842
O2 O 0.4079 0.5357 0.2556
O3 O 0.0658 0.0658 0.8025
O4 O 0.0658 0.0658 0.0658
O5 O 0.9944 0.7143 0.4492
O6 O 0.8421 0.9944 0.4492
O7 O 0.1842 0.1842 0.1842
O8 O 0.8421 0.7143 0.9944
O9 O 0.1842 0.1842 0.4475
O10 O 0.8421 0.4492 0.7143
O11 O 0.8025 0.0658 0.0658
O12 O 0.5357 0.4079 0.8008
O13 O 0.5357 0.2556 0.4079
O14 O 0.7143 0.9944 0.8421
O15 O 0.7143 0.4492 0.9944
O16 O 0.4492 0.9944 0.7143
O17 O 0.7143 0.8421 0.4492
O18 O 0.4492 0.8421 0.9944
O19 O 0.5357 0.8008 0.2556
O20 O 0.2556 0.5357 0.8008
O21 O 0.2556 0.4079 0.5357
O22 O 0.8008 0.4079 0.2556
O23 O 0.9944 0.8421 0.7143
O24 O 0.9944 0.4492 0.8421
O25 O 0.2556 0.8008 0.4079
O26 O 0.8008 0.5357 0.4079
O27 O 0.8008 0.2556 0.5357
O28 O 0.4079 0.2556 0.8008
O29 O 0.4475 0.1842 0.1842
O30 O 0.4492 0.7143 0.8421
O31 O 0.4079 0.8008 0.5357
O32 O 0.0658 0.8025 0.0658
S1 S 0.2500 0.2500 0.2500
S2 S 0.0000 0.0000 0.0000
Li1 Li 0.4664 0.0336 0.0336
Li2 Li 0.0336 0.4664 0.0336
Li3 Li 0.4664 0.4664 0.0336
Li4 Li 0.2164 0.2164 0.7836
Li5 Li 0.2164 0.7836 0.7836
Li6 Li 0.7836 0.2164 0.7836
Li7 Li 0.7836 0.7836 0.2164
Li8 Li 0.2164 0.7836 0.2164
Li9 Li 0.7836 0.2164 0.2164
Li10 Li 0.0336 0.4664 0.4664
Li11 Li 0.0336 0.0336 0.4664
Li12 Li 0.4664 0.0336 0.4664
C1 C 0.8501 0.8501 0.8501
C2 C 0.8501 0.8501 0.4497
C3 C 0.8501 0.4497 0.8501
C4 C 0.4497 0.8501 0.8501
C5 C 0.8003 0.3999 0.3999
C6 C 0.3999 0.8003 0.3999
C7 C 0.3999 0.3999 0.8003
C8 C 0.3999 0.3999 0.3999
V1 V 0.1250 0.6250 0.6250
V2 V 0.6250 0.6250 0.1250
V3 V 0.6250 0.6250 0.6250
V4 V 0.6250 0.1250 0.6250



# 4
# GGA-PBEsol Al2Cd2Bi, optimized geometry
# M_tot = 0.00 Bohr magnetons per cell
# Calculated total energy = -2.770 eV/atom
# Volume = 22.014 Å³ per atom
# Density of states at the Fermi level = 2.5 states/eV/f.u.
# Crystal system = tetragonal
# Space group = P4/mbm, No. 127
data_Al2Cd2Bi
_chemical_formula_sum 'Al4 Cd4 Bi2'
_cell_length_a 3.0724
_cell_length_b 8.4647
_cell_length_c 8.4647
_cell_angle_alpha 90.00
_cell_angle_beta 90.00
_cell_angle_gamma 90.00
_space_group_name_H-M_alt 'P 1'
_space_group_IT_number 1
loop_
_space_group_symop_operation_xyz
'x,y,z'
loop_
_atom_site_label
_atom_site_type_symbol
_atom_site_fract_x
_atom_site_fract_y
_atom_site_fract_z
Al1 Al 0.5000 0.8322 0.3322
Al2 Al 0.5000 0.3322 0.1678
Al3 Al 0.5000 0.6678 0.8322
Al4 Al 0.5000 0.1678 0.6678
Bi1 Bi 0.0000 0.0000 0.0000
Bi2 Bi 0.0000 0.5000 0.5000
Cd1 Cd 0.0000 0.3702 0.8702
Cd2 Cd 0.0000 0.6298 0.1298
Cd3 Cd 0.0000 0.8702 0.6298
Cd4 Cd 0.0000 0.1298 0.3702



# 5
# GGA-PBEsol NbReSi, optimized geometry
# M_tot = 0.00 Bohr magnetons per cell
# Volume = 14.712 Å³ per atom
# Density of states at the Fermi level = 2.2 states/eV/f.u.
# Crystal system = hexagonal
# Space group = P-62m, No. 189
# Formation energy from raw total energies = -544 meV/atom
data_NbReSi
_chemical_formula_sum 'Nb3 Re3 Si3'
_cell_length_a 3.2796
_cell_length_b 6.8279
_cell_length_c 6.8279
_cell_angle_alpha 120.00
_cell_angle_beta 90.00
_cell_angle_gamma 90.00
_space_group_name_H-M_alt 'P 1'
_space_group_IT_number 1
loop_
_space_group_symop_operation_xyz
'x,y,z'
loop_
_atom_site_label
_atom_site_type_symbol
_atom_site_fract_x
_atom_site_fract_y
_atom_site_fract_z
Si1 Si 0.0000 0.6667 0.3333
Si2 Si 0.0000 0.3333 0.6667
Si3 Si 0.5000 0.0000 0.0000
Re1 Re 0.0000 0.2589 0.2589
Re2 Re 0.0000 0.0000 0.7411
Re3 Re 0.0000 0.7411 0.0000
Nb1 Nb 0.5000 0.4016 0.0000
Nb2 Nb 0.5000 0.0000 0.4016
Nb3 Nb 0.5000 0.5984 0.5984



# 6
# GGA-PBEsol MgTiCrP3O12, optimized geometry
# M_tot = 6.00 Bohr magnetons per cell
# Volume = 11.884 Å³ per atom
# Crystal system = trigonal
# Space group = R3c, No. 161
# Formation energy from raw total energies = -2439 meV/atom
data_MgTiCrP3O12
_chemical_formula_sum 'Mg2 Ti2 Cr2 P6 O24'
_cell_length_a 8.4074
_cell_length_b 8.4074
_cell_length_c 8.4074
_cell_angle_alpha 60.80
_cell_angle_beta 60.80
_cell_angle_gamma 60.80
_space_group_name_H-M_alt 'P 1'
_space_group_IT_number 1
loop_
_space_group_symop_operation_xyz
'x,y,z'
loop_
_atom_site_label
_atom_site_type_symbol
_atom_site_fract_x
_atom_site_fract_y
_atom_site_fract_z
O1 O 0.2419 0.4463 0.5886
O2 O 0.5596 0.4111 0.7571
O3 O 0.3847 0.1819 0.9981
O4 O 0.9965 0.6187 0.8184
O5 O 0.9463 0.7419 0.0886
O6 O 0.4965 0.3184 0.1187
O7 O 0.1187 0.4965 0.3184
O8 O 0.2571 0.9111 0.0596
O9 O 0.3184 0.1187 0.4965
O10 O 0.7571 0.5596 0.4111
O11 O 0.5886 0.2419 0.4463
O12 O 0.0596 0.2571 0.9111
O13 O 0.1819 0.9981 0.3847
O14 O 0.8184 0.9965 0.6187
O15 O 0.9981 0.3847 0.1819
O16 O 0.9111 0.0596 0.2571
O17 O 0.4111 0.7571 0.5596
O18 O 0.6187 0.8184 0.9965
O19 O 0.7419 0.0886 0.9463
O20 O 0.6819 0.8847 0.4981
O21 O 0.4981 0.6819 0.8847
O22 O 0.8847 0.4981 0.6819
O23 O 0.4463 0.5886 0.2419
O24 O 0.0886 0.9463 0.7419
Cr1 Cr 0.1411 0.1411 0.1411
Cr2 Cr 0.6411 0.6411 0.6411
Mg1 Mg 0.5016 0.5016 0.5016
Mg2 Mg 0.0016 0.0016 0.0016
P1 P 0.9556 0.5418 0.2500
P2 P 0.7500 0.0418 0.4556
P3 P 0.5418 0.2500 0.9556
P4 P 0.4556 0.7500 0.0418
P5 P 0.0418 0.4556 0.7500
P6 P 0.2500 0.9556 0.5418
Ti1 Ti 0.3569 0.3569 0.3569
Ti2 Ti 0.8569 0.8569 0.8569



# 7
# GGA-PBEsol KPbN2O, optimized geometry
# M_tot = 3.12 Bohr magnetons per cell
# Volume = 17.518 Å³ per atom
# Density of states at the Fermi level = 0.9 states/eV/f.u.
# Crystal system = tetragonal
# Space group = P4/mmm, No. 123
# Formation energy from raw total energies = 800 meV/atom
data_KPbN2O
_chemical_formula_sum 'K1 Pb1 N2 O1'
_cell_length_a 4.3485
_cell_length_b 4.4881
_cell_length_c 4.4881
_cell_angle_alpha 90.00
_cell_angle_beta 90.00
_cell_angle_gamma 90.00
_space_group_name_H-M_alt 'P 1'
_space_group_IT_number 1
loop_
_space_group_symop_operation_xyz
'x,y,z'
loop_
_atom_site_label
_atom_site_type_symbol
_atom_site_fract_x
_atom_site_fract_y
_atom_site_fract_z
N1 N 0.0000 0.0000 0.5000
N2 N 0.0000 0.5000 0.0000
K1 K 0.5000 0.5000 0.5000
O1 O 0.5000 0.0000 0.0000
Pb1 Pb 0.0000 0.0000 0.0000



# 8
# GGA-PBEsol CaHg2, optimized geometry
# M_tot = 0.00 Bohr magnetons per cell
# Calculated total energy = -1.546 eV/atom
# Volume = 24.618 Å³ per atom
# Density of states at the Fermi level = 1.7 states/eV/f.u.
# Crystal system = tetragonal
# Space group = I4_1/amd, No. 141
data_CaHg2
_chemical_formula_sum 'Ca4 Hg8'
_cell_length_a 4.5182
_cell_length_b 4.5182
_cell_length_c 14.8196
_cell_angle_alpha 98.77
_cell_angle_beta 98.77
_cell_angle_gamma 90.00
_space_group_name_H-M_alt 'P 1'
_space_group_IT_number 1
loop_
_space_group_symop_operation_xyz
'x,y,z'
loop_
_atom_site_label
_atom_site_type_symbol
_atom_site_fract_x
_atom_site_fract_y
_atom_site_fract_z
Ca1 Ca 0.1738 0.6738 0.3475
Ca2 Ca 0.3262 0.8262 0.6525
Ca3 Ca 0.9238 0.9238 0.8475
Ca4 Ca 0.0762 0.0762 0.1525
Hg1 Hg 0.0005 0.5005 0.0010
Hg2 Hg 0.7505 0.7505 0.5010
Hg3 Hg 0.8365 0.3365 0.6729
Hg4 Hg 0.6635 0.1635 0.3271
Hg5 Hg 0.4135 0.4135 0.8271
Hg6 Hg 0.2495 0.2495 0.4990
Hg7 Hg 0.5865 0.5865 0.1729
Hg8 Hg 0.4995 0.9995 0.9990



# 9
# GGA-PBEsol AgSb2SI, optimized geometry
# M_tot = 0.00 Bohr magnetons per cell
# Volume = 29.648 Å³ per atom
# Density of states at the Fermi level = 4.6 states/eV/f.u.
# Crystal system = tetragonal
# Space group = P4/mmm, No. 123
# Formation energy from raw total energies = 817 meV/atom
data_AgSb2SI
_chemical_formula_sum 'Ag1 Sb2 S1 I1'
_cell_length_a 5.2346
_cell_length_b 5.3216
_cell_length_c 5.3216
_cell_angle_alpha 90.00
_cell_angle_beta 90.00
_cell_angle_gamma 90.00
_space_group_name_H-M_alt 'P 1'
_space_group_IT_number 1
loop_
_space_group_symop_operation_xyz
'x,y,z'
loop_
_atom_site_label
_atom_site_type_symbol
_atom_site_fract_x
_atom_site_fract_y
_atom_site_fract_z
I1 I 0.5000 0.0000 0.0000
Ag1 Ag 0.0000 0.0000 0.0000
Sb1 Sb 0.0000 0.5000 0.0000
Sb2 Sb 0.0000 0.0000 0.5000
S1 S 0.5000 0.5000 0.5000



# 10
# GGA-PBEsol Na2SnH2, optimized geometry
# M_tot = 0.00 Bohr magnetons per cell
# Volume = 16.190 Å³ per atom
# Density of states at the Fermi level = 1.2 states/eV/f.u.
# Crystal system = tetragonal
# Distance to the lowest polymorph of the same formula = 0.00 eV/f.u.
# Space group = P4/mbm, No. 127
data_Na2SnH2
_chemical_formula_sum 'Na4 Sn2 H4'
_cell_length_a 3.3180
_cell_length_b 6.9853
_cell_length_c 6.9853
_cell_angle_alpha 90.00
_cell_angle_beta 90.00
_cell_angle_gamma 90.00
_space_group_name_H-M_alt 'P 1'
_space_group_IT_number 1
loop_
_space_group_symop_operation_xyz
'x,y,z'
loop_
_atom_site_label
_atom_site_type_symbol
_atom_site_fract_x
_atom_site_fract_y
_atom_site_fract_z
Na1 Na 0.5000 0.1520 0.6520
Na2 Na 0.5000 0.8480 0.3480
Na3 Na 0.5000 0.3480 0.1520
Na4 Na 0.5000 0.6520 0.8480
Sn1 Sn 0.0000 0.5000 0.5000
Sn2 Sn 0.0000 0.0000 0.0000
H1 H 0.0000 0.3404 0.8404
H2 H 0.0000 0.8404 0.6596
H3 H 0.0000 0.6596 0.1596
H4 H 0.0000 0.1596 0.3404



# 11
# GGA-PBEsol Si2SbCl, optimized geometry
# M_tot = 0.00 Bohr magnetons per cell
# Volume = 20.158 Å³ per atom
# Density of states at the Fermi level = 1.2 states/eV/f.u.
# Crystal system = monoclinic
# Space group = Cm, No. 8
# Formation energy from raw total energies = 228 meV/atom
data_Si2SbCl
_chemical_formula_sum 'Si2 Sb1 Cl1'
_cell_length_a 3.2148
_cell_length_b 4.7388
_cell_length_c 5.9976
_cell_angle_alpha 112.74
_cell_angle_beta 105.55
_cell_angle_gamma 90.00
_space_group_name_H-M_alt 'P 1'
_space_group_IT_number 1
loop_
_space_group_symop_operation_xyz
'x,y,z'
loop_
_atom_site_label
_atom_site_type_symbol
_atom_site_fract_x
_atom_site_fract_y
_atom_site_fract_z
Si1 Si 0.3040 0.8303 0.6080
Si2 Si 0.9850 0.9236 0.9700
Sb1 Sb 0.7110 0.2302 0.4221
Cl1 Cl 0.5000 0.5159 0.0000



# 12
# GGA-PBEsol La2MgAl, optimized geometry
# M_tot = 0.00 Bohr magnetons per cell
# Calculated total energy = -4.358 eV/atom
# Volume = 27.730 Å³ per atom
# Density of states at the Fermi level = 3.6 states/eV/f.u.
# Crystal system = cubic
# Space group = Fm-3m, No. 225
data_La2MgAl
_chemical_formula_sum 'La2 Mg1 Al1'
_cell_length_a 5.3931
_cell_length_b 5.3931
_cell_length_c 5.3931
_cell_angle_alpha 60.00
_cell_angle_beta 60.00
_cell_angle_gamma 60.00
_space_group_name_H-M_alt 'P 1'
_space_group_IT_number 1
loop_
_space_group_symop_operation_xyz
'x,y,z'
loop_
_atom_site_label
_atom_site_type_symbol
_atom_site_fract_x
_atom_site_fract_y
_atom_site_fract_z
Mg1 Mg 0.0000 0.0000 0.0000
Al1 Al 0.5000 0.5000 0.5000
La1 La 0.7500 0.7500 0.7500
La2 La 0.2500 0.2500 0.2500